# HfMo3F

HfMo3F after structural relaxation (PBE+U, the Alexandria database).

abc: 5.2757 5.2757 5.2757
angles: 90.00 90.00 90.00
With the nearest neighbours (Å) after each atom.
Atoms (fractional coordinates):
Hf1 0.0000 0.0000 0.0000  6 Mo 2.64
Mo1 0.0000 0.0000 0.5000  2 Hf 2.64
Mo2 0.0000 0.5000 0.0000  2 Hf 2.64
Mo3 0.5000 0.0000 0.0000  2 Hf 2.64
F1 0.5000 0.5000 0.5000  12 Mo 3.73

Output
Offset from the most stable computed form   5.11 eV per formula unit
Final energy   -23.14 eV per cell